MnPRu2 (PBE-GGA, relaxed); calculated formation energy = -0.20 eV per atom; excess energy over the best structure of this formula in the dataset = 0.030 eV per atom; total moment = 0.9280 μB/atom
1.0
4.129 0.000 0.000
0.000 4.129 0.000
0.000 0.000 3.046
Mn P Ru
1 1 2
Cartesian
2.064 2.064 1.523
0.000 0.000 1.523
2.064 0.000 0.000
0.000 2.064 0.000



NiHg4As (PBE-GGA, relaxed); calculated formation energy = 0.68 eV per atom; total moment = 0.0592 μB/atom
1.0
3.639 1.300 4.272
-0.638 -2.452 5.173
3.815 -3.911 1.824
Ni Hg As
1 4 1
Cartesian
5.112 -3.798 8.452
4.373 -1.252 6.360
4.461 -3.852 5.139
2.239 -3.124 6.810
2.558 -1.900 4.229
0.000 0.000 0.000



AcEr2Ni (PBE-GGA, relaxed); calculated formation energy = -0.15 eV per atom; excess energy over the best structure of this formula in the dataset = 0.000 eV per atom; total moment = 0.0000 μB/atom
1.0
3.511 0.000 0.000
0.000 3.511 0.000
0.000 0.000 8.954
Ni Ac Er
1 1 2
Cartesian
1.755 1.755 0.000
1.755 1.755 4.477
0.000 0.000 7.387
0.000 0.000 1.567



BeHg2 (PBE-GGA, relaxed); calculated formation energy = 0.46 eV per atom; excess energy over the best structure of this formula in the dataset = 0.158 eV per atom; total moment = 0.0000 μB/atom
1.0
-0.952 3.992 -1.103
-3.110 -2.794 0.759
-0.013 1.015 3.684
Be Hg
1 2
Cartesian
0.000 0.000 0.000
-2.400 0.222 2.876
-1.675 1.991 0.464



Ho2MgZrP4 (PBE-GGA, relaxed); calculated formation energy = -1.23 eV per atom; total moment = 0.0000 μB/atom
1.0
-3.588 0.325 1.459
-2.550 -2.670 -5.675
1.345 -4.864 4.393
Ho Mg Zr P
2 1 1 4
Cartesian
-1.121 -2.269 2.926
-0.602 -3.767 -0.641
-3.069 -1.173 -2.108
0.000 0.000 0.000
-2.091 -1.641 0.401
-2.701 -5.568 -0.224
0.388 -4.388 1.932
-1.592 -3.146 -3.214



AcIn2Rh (PBE-GGA, relaxed); calculated formation energy = -0.57 eV per atom; excess energy over the best structure of this formula in the dataset = 0.029 eV per atom; total moment = 0.0000 μB/atom
1.0
-2.884 -4.833 -1.385
3.612 -0.025 -7.436
12.511 -9.217 6.107
Ac In Rh
8 16 8
Cartesian
1.343 -3.498 -1.634
4.455 -7.952 -4.703
11.895 -10.576 -1.081
8.783 -6.122 1.988
3.671 -7.281 -0.490
3.297 -2.209 -5.284
9.567 -6.793 -2.224
9.941 -11.865 2.570
0.097 -6.594 -0.403
5.692 -4.872 -5.938
11.706 -7.470 0.643
8.981 -9.212 0.269
13.141 -7.480 -2.311
7.546 -9.202 3.223
1.532 -6.604 -3.357
4.257 -4.862 -2.984
0.284 -4.067 -4.929
6.618 -5.533 -0.878
11.529 -9.997 5.148
8.045 -8.551 -4.770
12.954 -10.007 2.214
6.620 -8.541 -1.837
1.709 -4.077 -7.862
5.194 -5.523 2.056
4.272 -4.077 -0.209
2.836 -5.180 -5.498
8.966 -9.997 -2.505
10.402 -8.894 2.784
-1.017 -5.444 -2.773
6.645 -6.292 -3.645
14.255 -8.630 0.059
6.594 -7.782 0.931



BaLi2BiH (PBE-GGA, relaxed); excess energy over the best structure of this formula in the dataset = 0.186 eV per atom; total moment = 0.0000 μB/atom
1.0
4.917 0.000 0.000
0.000 4.917 0.000
0.000 0.000 5.206
H Li Bi Ba
1 2 1 1
Cartesian
0.000 0.000 0.000
0.000 2.458 0.000
2.458 0.000 0.000
2.458 2.458 2.603
0.000 0.000 2.603



Sr2HfTlP (PBE-GGA, relaxed); calculated formation energy = -0.29 eV per atom; total moment = 0.0000 μB/atom
1.0
5.802 0.000 0.000
0.000 4.935 0.000
0.000 0.000 5.802
Sr Tl Hf P
2 1 1 1
Cartesian
0.000 0.000 2.901
2.901 0.000 0.000
2.901 2.467 2.901
0.000 2.467 0.000
0.000 0.000 0.000